Compound: HfV2F8
Source: Alexandria via LeMat-Bulk
Functional: PBE+U
Structure: optimized geometry

Cell: 4.3744 7.1678 6.0647 Å, 126.21 87.38 90.00°
Last column: nearest neighbours and their distance in Å.
Fractional coordinates of all 11 atoms:
F 0.2425 0.5964 0.1931  3 V 2.12-2.20
F 0.7575 0.4036 0.8069  3 V 2.12-2.20
F 0.7585 0.8929 0.1947  1 Hf 2.01, 1 V 2.13
F 0.2522 0.1650 0.3297  1 Hf 2.01, 1 V 2.10
F 0.2415 0.6983 0.8058  1 Hf 2.01, 1 V 2.13
F 0.2415 0.1071 0.8052  1 Hf 2.01, 1 V 2.13
F 0.7478 0.8350 0.6703  1 Hf 2.01, 1 V 2.10
F 0.7585 0.3017 0.1942  1 Hf 2.01, 1 V 2.13
Hf 0.0000 0.0000 0.0000  6 F 2.01
V 0.2616 0.3796 0.7591  6 F 2.10-2.20
V 0.7384 0.6204 0.2408  6 F 2.10-2.20

Output
As for the space-group type: C2/m (12). Its uncorrected energy is -6.774 eV per atom.

Compound: HfV2F
Source: Alexandria via LeMat-Bulk
Functional: PBE+U
Structure: optimized geometry

Cell: 6.6147 6.6147 5.6933 Å, 54.48 54.48 90.00°
Last column: nearest neighbours and their distance in Å.
Fractional coordinates of all 8 atoms:
V 0.5215 0.1250 0.2500  2 F 2.08
V 0.2285 0.6250 0.2500  2 F 2.08
V 0.3750 0.4785 0.7500  2 F 2.08
V 0.8750 0.7715 0.7500  2 F 2.08
Hf 0.0000 0.0000 0.0000  8 V 2.98-3.10, 2 F 3.25
Hf 0.7500 0.2500 0.5000  8 V 2.98-3.10, 2 F 3.25
F 0.5000 0.5000 0.0000  4 V 2.08
F 0.2500 0.7500 0.5000  4 V 2.08

Output
For the energy above the most stable polymorph in this dataset, the calculation gives 0 meV/atom. As for the space-group type: I-42d (122). Its uncorrected energy is -6.399 eV per atom.

Compound: HfV2F11
Source: Alexandria via LeMat-Bulk
Functional: PBE+U
Structure: optimized geometry

Cell: 7.3083 7.8294 7.8294 Å, 72.87 62.18 62.18°
Last column: nearest neighbours and their distance in Å.
Fractional coordinates of all 28 atoms:
Hf 0.7500 0.7500 0.7500  8 F 2.11
Hf 0.2500 0.2500 0.2500  8 F 2.11
V 0.6410 0.6807 0.3193  7 F 1.88-2.06
V 0.3590 0.3193 0.6807  7 F 1.88-2.06
V 0.8590 0.1807 0.8193  7 F 1.88-2.06
V 0.1410 0.8193 0.1807  7 F 1.88-2.06
F 0.6380 0.7045 0.5688  1 V 2.01, 1 Hf 2.11
F 0.3620 0.2955 0.4312  1 V 2.01, 1 Hf 2.11
F 0.0887 0.5688 0.7045  1 V 2.01, 1 Hf 2.11
F 0.8620 0.9312 0.7955  1 V 2.01, 1 Hf 2.11
F 0.9113 0.4312 0.2955  1 V 2.01, 1 Hf 2.11
F 0.1380 0.0688 0.2045  1 V 2.01, 1 Hf 2.11
F 0.4113 0.7955 0.9312  1 V 2.01, 1 Hf 2.11
F 0.5887 0.2045 0.0688  1 V 2.01, 1 Hf 2.11
F 0.5000 0.5000 0.5000  2 V 1.97
F 0.0000 0.0000 0.0000  2 V 1.97
F 0.8636 0.7817 0.2183  2 V 1.88-2.06
F 0.1364 0.2183 0.7817  2 V 1.88-2.06
F 0.6364 0.2817 0.7183  2 V 1.88-2.06
F 0.3636 0.7183 0.2817  2 V 1.88-2.06
F 0.4490 0.9638 0.3260  1 V 2.00, 1 Hf 2.11
F 0.5510 0.0362 0.6740  1 V 2.00, 1 Hf 2.11
F 0.2612 0.3260 0.9638  1 V 2.00, 1 Hf 2.11
F 0.0510 0.1740 0.5362  1 V 2.00, 1 Hf 2.11
F 0.7388 0.6740 0.0362  1 V 2.00, 1 Hf 2.11
F 0.9490 0.8260 0.4638  1 V 2.00, 1 Hf 2.11
F 0.2388 0.5362 0.1740  1 V 2.00, 1 Hf 2.11
F 0.7612 0.4638 0.8260  1 V 2.00, 1 Hf 2.11

Output
As for the space-group type: Ibam (72). Its uncorrected energy is -6.253 eV per atom.

Which formula does entry 3 have?
HfV2F11

Number 3 is which compound?
HfV2F11